Entry 1:
Here is a geometry-optimized CrAs2IrRh structure from the Alexandria database. Energies are from PBE-GGA.

Properties
**SG**: No. 123
**Formation energy from the elements**: 1.222 eV per atom
**Size of the total moment**: 0.3 μB per formula unit

Cell lengths 4.712, 4.573, 4.712 Å; angles 90.00, 90.00, 90.00 degrees
Site moments in Bohr magnetons follow the coordinates.
Fractional coordinates of all 5 atoms:
Cr  0.000  0.500  0.000  -0.23
As  0.000  0.000  0.500  -0.03
As  0.500  0.000  0.000  -0.03
Ir  0.000  0.000  0.000  -0.05
Rh  0.500  0.500  0.500  0.20


Entry 2:
Here is a geometry-optimized CaPd2Au structure from the Alexandria database. Energies are from PBE-GGA.

Properties
**SG**: No. 225
**Formation energy from the elements**: -0.531 eV per atom
**Distance to the lowest polymorph of the same formula**: 0.0723 eV per atom
**Size of the total moment**: 0.0 μB per formula unit

Cell lengths 4.714, 4.714, 4.714 Å; angles 60.00, 60.00, 60.00 degrees
Fractional coordinates of all 4 atoms:
Ca  0.000  0.000  0.000
Au  0.500  0.500  0.500
Pd  0.250  0.250  0.250
Pd  0.750  0.750  0.750


Entry 3:
Here is a geometry-optimized K3Ho3OsO8 structure from the Alexandria database. Energies are from PBE-GGA.

Properties
**ΔE_f (raw)**: -2.371 eV/atom
**SG**: No. 166
**Size of the total moment**: 2.0 μB per formula unit

Cell lengths 6.739, 6.740, 7.379 Å; angles 117.18, 90.01, 119.99 degrees
Site moments in Bohr magnetons follow the coordinates.
Fractional coordinates of all 15 atoms:
K  0.000  0.000  0.000  0.00
K  0.000  0.500  0.000  0.00
K  0.500  0.500  0.000  0.00
Ho  0.500  0.000  0.500  0.02
Ho  0.500  0.500  0.500  0.01
Ho  0.000  0.500  0.500  0.01
Os  0.000  0.000  0.500  1.44
O  0.272  0.545  0.317  0.00
O  0.728  0.455  0.683  0.00
O  0.788  0.576  0.327  0.07
O  0.212  0.424  0.673  0.07
O  0.788  0.039  0.327  0.07
O  0.212  0.961  0.673  0.07
O  0.251  0.039  0.327  0.07
O  0.749  0.961  0.673  0.07


Entry 4:
Here is a geometry-optimized YMg2IrO structure from the Alexandria database. Energies are from PBE-GGA.

Properties
**ΔE_f (raw)**: -1.264 eV/atom
**SG**: No. 123
**Size of the total moment**: 0.0 μB per formula unit

Cell lengths 4.117, 4.825, 4.117 Å; angles 90.00, 90.00, 90.00 degrees
Fractional coordinates of all 5 atoms:
Y  0.000  0.500  0.000
Mg  0.000  0.000  0.500
Mg  0.500  0.000  0.000
Ir  0.500  0.500  0.500
O  0.000  0.000  0.000


Entry 5:
Here is a geometry-optimized SmPu2HfP4 structure from the Alexandria database. Energies are from PBE-GGA.

Properties
**SG**: No. 10
**Formation energy from the elements**: -1.298 eV per atom
**Size of the total moment**: 10.1 μB per formula unit

Cell lengths 3.945, 6.866, 6.774 Å; angles 109.44, 90.00, 90.00 degrees
Site moments in Bohr magnetons follow the coordinates.
Fractional coordinates of all 8 atoms:
Sm  0.500  0.500  0.000  0.01
Pu  0.500  0.000  0.500  4.87
Pu  0.000  0.500  0.500  5.09
Hf  0.000  0.000  0.000  0.03
P  0.500  0.233  0.241  -0.08
P  0.500  0.767  0.759  -0.08
P  0.000  0.235  0.749  -0.09
P  0.000  0.765  0.251  -0.09


Entry 6:
Here is a geometry-optimized MoPdAu3 structure from the Alexandria database. Energies are from PBE-GGA.

Properties
**SG**: No. 221
**Formation energy from the elements**: 1.250 eV per atom
**Distance to the lowest polymorph of the same formula**: 0.0000 eV per atom
**Size of the total moment**: 4.6 μB per formula unit

Cell lengths 4.989, 4.989, 4.989 Å; angles 90.00, 90.00, 90.00 degrees
Site moments in Bohr magnetons follow the coordinates.
Fractional coordinates of all 5 atoms:
Mo  0.500  0.500  0.500  3.63
Au  0.000  0.500  0.000  0.01
Au  0.000  0.000  0.500  -0.02
Au  0.500  0.000  0.000  0.03
Pd  0.000  0.000  0.000  0.13


Entry 7:
Here is a geometry-optimized K3AlBi3Se8 structure from the Alexandria database. Energies are from PBE-GGA.

Properties
**ΔE_f (raw)**: -0.731 eV/atom
**SG**: No. 12
**Size of the total moment**: 0.0 μB per formula unit

Cell lengths 8.258, 8.268, 9.355 Å; angles 116.28, 90.00, 119.93 degrees
Fractional coordinates of all 15 atoms:
K  0.000  0.000  0.000
K  0.000  0.500  0.000
K  0.500  0.500  0.000
Al  0.000  0.000  0.500
Bi  0.500  0.000  0.500
Bi  0.500  0.500  0.500
Bi  0.000  0.500  0.500
Se  0.262  0.524  0.286
Se  0.738  0.476  0.714
Se  0.788  0.576  0.309
Se  0.212  0.424  0.691
Se  0.788  0.021  0.309
Se  0.212  0.979  0.691
Se  0.232  0.021  0.309
Se  0.768  0.979  0.691


Entry 8:
Here is a geometry-optimized NbP2OsS structure from the Alexandria database. Energies are from PBE-GGA.

Properties
**ΔE_f (raw)**: 0.836 eV/atom
**SG**: No. 123
**Distance to the lowest polymorph of the same formula**: 0.0000 eV per atom
**Size of the total moment**: 2.7 μB per formula unit

Cell lengths 4.444, 4.444, 5.044 Å; angles 90.00, 90.00, 90.00 degrees
Site moments in Bohr magnetons follow the coordinates.
Fractional coordinates of all 5 atoms:
P  0.000  0.500  0.000  -0.06
P  0.500  0.000  0.000  -0.06
Nb  0.500  0.500  0.500  2.23
Os  0.000  0.000  0.000  0.25
S  0.000  0.000  0.500  -0.10